Entry 1:
Computed, not measured: a geometry-optimized MgAl6O10 structure at the PBE level of DFT.

a b c (Å): 9.808 5.730 23.547
angles (deg): 90.00 98.29 90.00
Space group Cm (No. 8)
Inequivalent atoms, fractional coordinates:
Mg (0.000, 0.000, 0.000)
Mg (0.060, 0.000, 0.156)
Mg (0.203, 0.000, 0.602)
Mg (0.409, 0.000, 0.208)
Al (0.025, 0.500, 0.581)
Al (0.030, 0.500, 0.081)
Al (0.087, 0.249, 0.484)
Al (0.104, 0.500, 0.808)
Al (0.150, 0.000, 0.390)
Al (0.164, 0.500, 0.956)
Al (0.187, 0.252, 0.284)
Al (0.233, 0.500, 0.683)
Al (0.234, 0.500, 0.182)
Al (0.267, 0.000, 0.761)
Al (0.283, 0.248, 0.081)
Al (0.307, 0.500, 0.410)
Al (0.322, 0.000, 0.980)
Al (0.367, 0.500, 0.557)
Al (0.383, 0.251, 0.882)
Al (0.436, 0.500, 0.284)
Al (0.447, 0.500, 0.788)
Al (0.470, 0.000, 0.363)
Al (0.485, 0.246, 0.682)
O (0.017, 0.252, 0.827)
O (0.040, 0.237, 0.331)
O (0.077, 0.000, 0.731)
O (0.083, 0.500, 0.729)
O (0.091, 0.000, 0.244)
O (0.105, 0.500, 0.237)
O (0.127, 0.278, 0.638)
O (0.142, 0.280, 0.130)
O (0.171, 0.000, 0.521)
O (0.180, 0.500, 0.533)
O (0.183, 0.500, 0.036)
O (0.196, 0.000, 0.036)
O (0.220, 0.253, 0.429)
O (0.250, 0.248, 0.936)
O (0.281, 0.000, 0.333)
O (0.286, 0.500, 0.330)
O (0.289, 0.500, 0.829)
O (0.295, 0.000, 0.836)
O (0.328, 0.279, 0.237)
O (0.339, 0.266, 0.729)
O (0.364, 0.500, 0.130)
O (0.379, 0.000, 0.125)
O (0.387, 0.500, 0.638)
O (0.400, 0.000, 0.637)
O (0.426, 0.224, 0.036)
O (0.453, 0.249, 0.537)
O (0.468, 0.500, 0.919)
O (0.476, 0.000, 0.931)
O (0.492, 0.500, 0.431)
O (0.499, 0.000, 0.438)

## Properties
Calculated volume in Å³/cell: 1309.5
Formation energy (no corrections) in eV per atom: -2.945
Electronic total energy in eV per atom: -7.28
Crystal system: monoclinic



Entry 2:
Computed, not measured: a geometry-optimized MgAl2O4 structure at the PBE level of DFT.

a b c (Å): 8.171 8.171 8.171
angles (deg): 90.00 90.00 90.00
Space group Fd-3m (No. 227, origin choice 2)
Inequivalent atoms, fractional coordinates:
Mg (0.125, 0.125, 0.125)
Al (0.000, 0.000, 0.500)
O (0.014, 0.014, 0.736)

## Properties
Excess energy over the best structure of this formula in the dataset in meV/atom: 0
Calculated volume in Å³/cell: 545.5
Formation energy (no corrections) in eV per atom: -2.977
Electronic total energy in eV per atom: -7.11
Crystal system: cubic



Entry 3:
Computed, not measured: a geometry-optimized Mg2Al2O5 structure at the PBE level of DFT.

a b c (Å): 3.602 3.602 7.018
angles (deg): 90.00 90.00 90.00
Space group P4/mmm (No. 123)
Inequivalent atoms, fractional coordinates:
Mg (0.000, 0.000, 0.000)
Mg (0.000, 0.000, 0.500)
Al (0.500, 0.500, 0.245)
O (0.000, 0.500, 0.197)
O (0.500, 0.500, 0.500)

## Properties
Calculated volume in Å³/cell: 91.1
Formation energy (no corrections) in eV per atom: -2.521
Electronic total energy in eV per atom: -6.46
Crystal system: tetragonal



- Look up the electronic total energy of the first one.
  -7.28 eV per atom



- Which value of calculated volume does entry 3 give?
  91.1 Å³/cell



- What is the formation energy (no corrections) in the first record?
  -2.945 eV per atom